A relaxed Ba2HoBiO5 crystal, computed with PBE.

Values from the calculation:
For the total moment, the calculation gives 0.000 μB/f.u. The crystal system is orthorhombic. The raw total energy comes out at -6.529 eV per atom. As for the space group: Cmc2_1.

```
Ba2HoBiO5
1.0
-2.794 -2.345 0.449
3.033 0.580 6.856
-7.737 9.714 2.601
Ba Ho Bi O
4 2 2 10
direct
0.847 0.695 0.776
0.089 0.177 0.675
0.153 0.305 0.276
0.911 0.823 0.175
0.768 0.537 0.518
0.232 0.463 0.018
0.533 0.066 0.953
0.467 0.934 0.453
0.384 0.768 0.015
0.706 0.411 0.911
0.486 0.972 0.781
0.264 0.529 0.641
0.927 0.854 0.552
0.616 0.232 0.515
0.294 0.589 0.411
0.514 0.028 0.281
0.736 0.471 0.141
0.073 0.146 0.052
```